1.
First-principles (PBE) data for a relaxed PrEr2NpP4 crystal, as listed in Alexandria via LeMat-Bulk.

Results
Its space group is P2/m.

Cell: 4.019 6.980 6.956 Å, 109.36 90.00 90.00°
Last column: magnetic moment on the atom in μB.
Atoms (fractional coordinates):
P 0.000 0.238 0.743  -0.04
Pr 0.500 0.500 0.000  0.03
P 0.000 0.762 0.257  -0.04
Er 0.500 0.000 0.500  0.01
P 0.500 0.243 0.253  -0.07
P 0.500 0.757 0.747  -0.07
Np 0.000 0.000 0.000  3.55
Er 0.000 0.500 0.500  0.01


2.
First-principles (PBE) data for a relaxed HfV2P crystal, as listed in Alexandria via LeMat-Bulk.

Results
Its space group is Cmcm.

Cell: 3.279 3.973 9.365 Å, 90.00 100.08 90.00°
Atoms (fractional coordinates):
Hf 0.388 0.250 0.776
Hf 0.612 0.750 0.224
V 0.754 0.250 0.509
V 0.977 0.750 0.955
P 0.841 0.750 0.681
P 0.159 0.250 0.319
V 0.246 0.750 0.491
V 0.023 0.250 0.045


3.
First-principles (PBE) data for a relaxed Sc2ReMo crystal, as listed in Alexandria via LeMat-Bulk.

Results
The distance to the lowest polymorph of the same formula is 289 meV/atom. Its space group is R3m.

Cell: 9.653 9.653 9.653 Å, 18.15 18.15 18.15°
Atoms (fractional coordinates):
Mo 0.493 0.493 0.493
Re 0.756 0.756 0.756
Sc 0.011 0.011 0.011
Sc 0.240 0.240 0.240


4.
First-principles (PBE) data for a relaxed K5Tl3 crystal, as listed in Alexandria via LeMat-Bulk.

Results
Its space group is Cmmm.

Cell: 7.726 7.726 5.923 Å, 90.00 90.00 97.39°
Atoms (fractional coordinates):
K 0.000 0.500 0.000
Tl 0.760 0.240 0.500
K 0.285 0.285 0.500
Tl 0.500 0.500 0.000
K 0.500 0.000 0.000
K 0.715 0.715 0.500
Tl 0.240 0.760 0.500
K 0.000 0.000 0.000


5.
First-principles (PBE) data for a relaxed Cs6Cd2Cl crystal, as listed in Alexandria via LeMat-Bulk.

Results
The value obtained for the energy relative to the elements, uncorrected is -414 meV/atom. Its space group is P2_1/c.

Cell: 10.599 8.978 15.861 Å, 55.45 90.00 90.00°
Atoms (fractional coordinates):
Cs 0.531 0.872 0.750
Cd 0.386 0.308 0.745
Cs 0.196 0.408 0.943
Cs 0.969 0.872 0.250
Cs 0.804 0.592 0.057
Cs 0.835 0.233 0.443
Cs 0.304 0.408 0.443
Cs 0.165 0.767 0.557
Cd 0.114 0.308 0.245
Cs 0.665 0.233 0.943
Cs 0.031 0.128 0.750
Cd 0.886 0.692 0.755
Cl 0.000 0.500 0.500
Cd 0.614 0.692 0.255
Cl 0.500 0.500 0.000
Cs 0.696 0.592 0.557
Cs 0.469 0.128 0.250
Cs 0.335 0.767 0.057


6.
First-principles (PBE) data for a relaxed Hf3Tl3CrSe8 crystal, as listed in Alexandria via LeMat-Bulk.

Results
The value obtained for the energy relative to the elements, uncorrected is -916 meV/atom. Its space group is C2/m.

Cell: 7.490 7.493 9.525 Å, 113.22 90.00 119.99°
Last column: magnetic moment on the atom in μB.
Atoms (fractional coordinates):
Se 0.263 0.040 0.317  -0.02
Se 0.223 0.446 0.683  -0.02
Tl 0.000 0.500 0.000  0.01
Hf 0.500 0.000 0.500  -0.03
Hf 0.000 0.500 0.500  -0.03
Hf 0.500 0.500 0.500  -0.03
Se 0.777 0.040 0.317  -0.02
Se 0.737 0.960 0.683  -0.02
Se 0.777 0.554 0.317  -0.02
Se 0.271 0.542 0.313  0.00
Se 0.729 0.458 0.687  0.00
Tl 0.500 0.500 0.000  0.01
Se 0.223 0.960 0.683  -0.02
Tl 0.000 0.000 0.000  0.01
Cr 0.000 0.000 0.500  3.02


Number 1: magnetic moment 3.65 μB/f.u., total DFT energy (no corrections) -7.4372 eV/atom. Number 2: magnetic moment 0.00 μB/f.u., total DFT energy (no corrections) -9.0418 eV/atom. Number 3: magnetic moment 0.00 μB/f.u., total DFT energy (no corrections) -8.7857 eV/atom. Number 4: magnetic moment 0.21 μB/f.u., total DFT energy (no corrections) -1.5540 eV/atom. Number 5: magnetic moment 0.00 μB/f.u., total DFT energy (no corrections) -1.3917 eV/atom. Number 6: magnetic moment 3.00 μB/f.u., total DFT energy (no corrections) -5.8797 eV/atom.